No. 1
A plane-wave DFT calculation with PBE was carried out for a geometry-optimized SrLiBeAu6 structure.

Values from the calculation:
The size of the total moment is 0.00 μB/f.u. For the density, the calculation gives 12.17 g/cm3. The calculation puts the formation energy at -0.30 eV per atom. The symmetry is Imma (74).

a b c (Å): 7.967 7.967 7.967
angles (deg): 127.89 111.14 91.44
Fractional coordinates of all 18 atoms:
Sr  0.463  0.213  0.250
Sr  0.537  0.787  0.750
Li  0.000  0.000  0.500
Li  0.000  0.500  0.000
Be  0.000  0.000  0.000
Be  0.500  0.000  0.500
Au  0.119  0.410  0.279
Au  0.119  0.839  0.708
Au  0.181  0.931  0.250
Au  0.248  0.498  0.750
Au  0.369  0.161  0.779
Au  0.369  0.590  0.208
Au  0.631  0.410  0.792
Au  0.631  0.839  0.221
Au  0.752  0.502  0.250
Au  0.819  0.069  0.750
Au  0.881  0.161  0.292
Au  0.881  0.590  0.721

***

No. 2
A plane-wave DFT calculation with PBE was carried out for a geometry-optimized YZrBr2 structure.

Values from the calculation:
The size of the total moment is 0.00 μB/f.u. For the density, the calculation gives 5.61 g/cm3. The uncorrected formation energy is -604 meV per atom. The distance to the lowest polymorph of the same formula comes out at 456.0 meV per atom. The symmetry is P2/m (10).

a b c (Å): 3.546 4.752 5.980
angles (deg): 90.00 93.04 90.00
Fractional coordinates of all 4 atoms:
Y  0.000  0.000  0.000
Zr  0.500  0.000  0.500
Br  0.304  0.500  0.257
Br  0.696  0.500  0.743

***

No. 3
A plane-wave DFT calculation with PBE was carried out for a geometry-optimized TbNdGdSc structure.

Values from the calculation:
The size of the total moment is 7.54 μB/f.u. For the density, the calculation gives 6.77 g/cm3. The calculation puts the formation energy at 0.11 eV per atom. The symmetry is F-43m (216).

a b c (Å): 5.597 5.597 5.597
angles (deg): 60.00 60.00 60.00
Fractional coordinates of all 4 atoms:
Tb  0.000  0.000  0.000
Nd  0.250  0.250  0.250
Gd  0.750  0.750  0.750
Sc  0.500  0.500  0.500